Record 1
Computed, not measured: ReIr2Cl after structural relaxation at the PBEsol level of DFT.

## Properties
Energy relative to the elements, uncorrected ... 0.3150 eV per atom
Distance to the lowest polymorph of the same formula ... 0 meV per atom
Crystal system ... tetragonal
Magnetic moment ... 0.00 μB/f.u.

Lattice parameters (Å, degrees): 2.8031 2.8031 7.6493 90.00 90.00 90.00
Space group P4/mmm (No. 123)
Inequivalent atoms, fractional coordinates:
Re 0.0000 0.0000 0.0000 [1 per cell]
Ir 0.5000 0.5000 0.2302 [2 per cell]
Cl 0.0000 0.0000 0.5000 [1 per cell]

Record 2
Computed, not measured: CdRhPb3 after structural relaxation at the PBEsol level of DFT.

## Properties
Energy relative to the elements ... 1.1625 eV per atom
Crystal system ... cubic
Magnetic moment ... 0.00 μB/f.u.

Lattice parameters (Å, degrees): 5.3735 5.3735 5.3735 90.00 90.00 90.00
Space group Pm-3m (No. 221)
Inequivalent atoms, fractional coordinates:
Cd 0.0000 0.0000 0.0000 [1 per cell]
Rh 0.5000 0.5000 0.5000 [1 per cell]
Pb 0.0000 0.0000 0.5000 [3 per cell]

Record 3
Computed, not measured: BaCa2As after structural relaxation at the PBEsol level of DFT.

## Properties
Energy relative to the elements ... -0.5933 eV per atom
Crystal system ... monoclinic
Magnetic moment ... 0.00 μB/f.u.

Lattice parameters (Å, degrees): 12.1845 4.0055 7.1170 90.00 117.34 90.00
Space group Cm (No. 8)
Inequivalent atoms, fractional coordinates:
Ba 0.0000 0.0000 0.0000 [2 per cell]
Ca 0.1702 0.0000 0.6859 [2 per cell]
Ca 0.3469 0.0000 0.3416 [2 per cell]
As 0.2274 0.5000 0.0125 [2 per cell]

Copy entry 1 word for word.
Computed, not measured: ReIr2Cl after structural relaxation at the PBEsol level of DFT.

## Properties
Energy relative to the elements, uncorrected ... 0.3150 eV per atom
Distance to the lowest polymorph of the same formula ... 0 meV per atom
Crystal system ... tetragonal
Magnetic moment ... 0.00 μB/f.u.

Lattice parameters (Å, degrees): 2.8031 2.8031 7.6493 90.00 90.00 90.00
Space group P4/mmm (No. 123)
Inequivalent atoms, fractional coordinates:
Re 0.0000 0.0000 0.0000 [1 per cell]
Ir 0.5000 0.5000 0.2302 [2 per cell]
Cl 0.0000 0.0000 0.5000 [1 per cell]